A plane-wave DFT calculation with PBE was carried out for a relaxed structure of LiLa2Se3.

Values from the calculation:
The calculation puts the distance to the lowest polymorph of the same formula at 0 meV/atom. The uncorrected energy is -33.1 eV/cell. As for the formation energy without anion corrections: -1.8060 eV/atom. The calculation puts the volume at 27.106 Å³ per atom. The value obtained for the density of states at the Fermi level is 2.36 states/eV/f.u.

Unit cell a=4.248 b=6.039 c=7.336 alpha=114.31 beta=106.83 gamma=90.00
Element x y z (fractional)
Li1 0.500 0.500 0.500
La1 0.834 0.834 0.167
La2 0.166 0.166 0.833
Se1 0.841 0.341 0.183
Se2 0.159 0.659 0.817
Se3 0.500 0.000 0.500